(1)
The following is a PBE-GGA calculation of a geometry-optimized UCoGe structure, from Alexandria.

Cell: 6.073 6.073 6.073 Å, 90.00 90.00 90.00°
Space group F-43m (No. 216)
Symmetry-distinct sites (fractional):
U 0.000 0.000 0.000 (multiplicity 4)
Co 0.250 0.250 0.250 (multiplicity 4)
Ge 0.000 0.000 0.500 (multiplicity 4)

The value obtained for the formation energy is -0.28 eV/atom. For the density of states at the Fermi level, the calculation gives 3.6 states/eV/f.u. The calculation puts the electronic total energy at -23.84 eV/f.u.


(2)
The following is a PBE-GGA calculation of a geometry-optimized UCo4Ge structure, from Alexandria.

Cell: 6.816 6.816 6.816 Å, 90.00 90.00 90.00°
Space group F-43m (No. 216)
Symmetry-distinct sites (fractional):
U 0.000 0.000 0.000 (multiplicity 4)
Co 0.123 0.123 0.377 (multiplicity 16)
Ge 0.250 0.250 0.750 (multiplicity 4)

As for the energy relative to the lowest polymorph listed for this composition: 0 meV/atom. The value obtained for the formation energy is -0.15 eV/atom. For the density of states at the Fermi level, the calculation gives 8.1 states/eV/f.u. The calculation puts the electronic total energy at -45.20 eV/f.u.


(3)
The following is a PBE-GGA calculation of a geometry-optimized UCo2Ge2 structure, from Alexandria.

Cell: 4.064 4.064 9.403 Å, 90.00 90.00 90.00°
Space group P4/nmm (No. 129, origin choice 2)
Symmetry-distinct sites (fractional):
U 0.250 0.250 0.243 (multiplicity 2)
Co 0.250 0.250 0.627 (multiplicity 2)
Co 0.250 0.750 0.000 (multiplicity 2)
Ge 0.250 0.250 0.869 (multiplicity 2)
Ge 0.250 0.750 0.500 (multiplicity 2)

As for the energy relative to the lowest polymorph listed for this composition: 0 meV/atom. The value obtained for the formation energy is -0.35 eV/atom. For the density of states at the Fermi level, the calculation gives 6.6 states/eV/f.u. The calculation puts the electronic total energy at -36.49 eV/f.u.


(4)
The following is a PBE-GGA calculation of a geometry-optimized UCoGe structure, from Alexandria.

Cell: 4.1939 4.1939 3.3941 Å, 90.00 90.00 120.00°
Space group P-6m2 (No. 187)
Symmetry-distinct sites (fractional):
U 0.0000 0.0000 0.0000 (multiplicity 1)
Co 0.3333 0.6667 0.5000 (multiplicity 1)
Ge 0.6667 0.3333 0.5000 (multiplicity 1)

The value obtained for the formation energy is -0.33 eV/atom. For the density of states at the Fermi level, the calculation gives 4.4 states/eV/f.u. The calculation puts the electronic total energy at -23.99 eV/f.u.


(5)
The following is a PBE-GGA calculation of a geometry-optimized U2Co3Ge2 structure, from Alexandria.

Cell: 11.002 4.090 4.941 Å, 90.00 94.38 90.00°
Space group C2/m (No. 12)
Symmetry-distinct sites (fractional):
U 0.124 0.000 0.107 (multiplicity 4)
Co 0.000 0.000 0.500 (multiplicity 2)
Co 0.229 0.000 0.668 (multiplicity 4)
Ge 0.106 0.500 0.655 (multiplicity 4)

The value obtained for the formation energy is -0.26 eV/atom. For the density of states at the Fermi level, the calculation gives 7.9 states/eV/f.u. The calculation puts the electronic total energy at -54.93 eV/f.u.


(6)
The following is a PBE-GGA calculation of a geometry-optimized UCo4Ge structure, from Alexandria.

Cell: 4.755 4.755 16.213 Å, 90.00 90.00 90.00°
Space group I4_1/amd (No. 141, origin choice 2)
Symmetry-distinct sites (fractional):
U 0.000 0.250 0.375 (multiplicity 4)
Co 0.000 0.008 0.745 (multiplicity 16)
Ge 0.000 0.250 0.875 (multiplicity 4)

As for the energy relative to the lowest polymorph listed for this composition: 390 meV/atom. The value obtained for the formation energy is 0.24 eV/atom. For the density of states at the Fermi level, the calculation gives 7.6 states/eV/f.u. The calculation puts the electronic total energy at -42.86 eV/f.u.